(1)
Material: NaSrHg
Method: DFT, PBE-GGA
State: optimized geometry

## Properties
* V: 213 Å³ per cell
* relative energy among the computed polymorphs: 88.4 meV/atom
* symmetry: P1, No. 1
* density: 4.86 Mg/m³
* calculated formation energy: -0.26 eV per atom

abc: 4.9733 6.9136 7.0170
angles: 71.87 69.29 89.95
Closest atoms and distances in Å follow each position.
Fractional coordinates of all 6 atoms:
Na 0.0000 0.0000 0.0000  3 Hg 3.11-3.14, 2 Na 3.35-3.36
Na 0.4003 0.6647 0.1982  3 Hg 3.10-3.28, 2 Na 3.35-3.36
Sr 0.0929 0.5496 0.8139  4 Hg 3.28-3.45, 1 Na 3.58
Sr 0.7462 0.1766 0.5067  4 Hg 3.44-3.57
Hg 0.4498 0.2293 0.1018  3 Na 3.13-3.28, 2 Sr 3.45
Hg 0.7649 0.6922 0.4692  3 Na 3.10-3.11, 3 Sr 3.28-3.44



(2)
Material: Na3Sr2Hg2
Method: DFT, PBE-GGA
State: optimized geometry

## Properties
* V: 513 Å³ per cell
* relative energy among the computed polymorphs: 4.2 meV/atom
* symmetry: Cmmm, No. 65
* density: 4.18 Mg/m³
* calculated formation energy: -0.26 eV per atom

abc: 4.8398 24.2745 4.3624
angles: 90.00 90.00 90.00
Closest atoms and distances in Å follow each position.
Fractional coordinates of all 14 atoms:
Na 0.0000 0.0000 0.0000  8 Na 3.76
Na 0.0000 0.4229 0.5000  1 Hg 3.22
Na 0.0000 0.5771 0.5000  1 Hg 3.22
Na 0.5000 0.0771 0.5000  1 Hg 3.22
Na 0.5000 0.5000 0.0000  8 Na 3.76
Na 0.5000 0.9229 0.5000  1 Hg 3.22
Sr 0.0000 0.1747 0.0000  6 Hg 3.37-3.55
Sr 0.0000 0.8253 0.0000  6 Hg 3.37-3.55
Sr 0.5000 0.3253 0.0000  6 Hg 3.37-3.55
Sr 0.5000 0.6747 0.0000  6 Hg 3.37-3.55
Hg 0.0000 0.2901 0.5000  2 Hg 3.11, 1 Na 3.22, 4 Sr 3.37
Hg 0.0000 0.7099 0.5000  2 Hg 3.11, 1 Na 3.22, 4 Sr 3.37
Hg 0.5000 0.2099 0.5000  2 Hg 3.11, 1 Na 3.22, 4 Sr 3.37
Hg 0.5000 0.7901 0.5000  2 Hg 3.11, 1 Na 3.22, 4 Sr 3.37



(3)
Material: NaSr2Hg10
Method: DFT, PBE-GGA
State: optimized geometry

## Properties
* V: 884 Å³ per cell
* symmetry: Pbam, No. 55
* density: 8.28 Mg/m³
* calculated formation energy: -0.15 eV per atom

abc: 11.2329 13.4748 5.8393
angles: 90.00 90.00 90.00
Closest atoms and distances in Å follow each position.
Fractional coordinates of all 26 atoms:
Na 0.0000 0.0000 0.0000  8 Hg 3.05-3.22
Na 0.5000 0.5000 0.0000  8 Hg 3.05-3.22
Sr 0.1265 0.3350 0.5000  10 Hg 3.43-3.60
Sr 0.3735 0.8350 0.5000  10 Hg 3.43-3.60
Sr 0.6265 0.1650 0.5000  10 Hg 3.43-3.60
Sr 0.8735 0.6650 0.5000  10 Hg 3.43-3.60
Hg 0.0276 0.6102 0.0000  5 Hg 3.02-3.11
Hg 0.0983 0.8042 0.2537  3 Hg 2.88-3.11, 1 Na 3.22
Hg 0.0983 0.8042 0.7463  3 Hg 2.88-3.11, 1 Na 3.22
Hg 0.1791 0.1845 0.0000  6 Hg 3.13-3.45, 1 Na 3.20
Hg 0.2318 0.4645 0.0000  5 Hg 3.02-3.24, 1 Na 3.05
Hg 0.2682 0.9645 0.0000  5 Hg 3.02-3.24, 1 Na 3.05
Hg 0.3209 0.6845 0.0000  6 Hg 3.13-3.45, 1 Na 3.20
Hg 0.4017 0.3042 0.2537  3 Hg 2.88-3.11, 1 Na 3.22
Hg 0.4017 0.3042 0.7463  3 Hg 2.88-3.11, 1 Na 3.22
Hg 0.4724 0.1102 0.0000  5 Hg 3.02-3.11
Hg 0.5276 0.8898 0.0000  5 Hg 3.02-3.11
Hg 0.5983 0.6958 0.2537  3 Hg 2.88-3.11, 1 Na 3.22
Hg 0.5983 0.6958 0.7463  3 Hg 2.88-3.11, 1 Na 3.22
Hg 0.6791 0.3155 0.0000  6 Hg 3.13-3.45, 1 Na 3.20
Hg 0.7318 0.0355 0.0000  5 Hg 3.02-3.24, 1 Na 3.05
Hg 0.7682 0.5355 0.0000  5 Hg 3.02-3.24, 1 Na 3.05
Hg 0.8209 0.8155 0.0000  6 Hg 3.13-3.45, 1 Na 3.20
Hg 0.9017 0.1958 0.2537  3 Hg 2.88-3.11, 1 Na 3.22
Hg 0.9017 0.1958 0.7463  3 Hg 2.88-3.11, 1 Na 3.22
Hg 0.9724 0.3898 0.0000  5 Hg 3.02-3.11



(4)
Material: Na2Sr2Hg3
Method: DFT, PBE-GGA
State: optimized geometry

## Properties
* V: 448 Å³ per cell
* symmetry: Cmmm, No. 65
* density: 6.10 Mg/m³
* calculated formation energy: -0.35 eV per atom

abc: 3.9014 29.6837 3.8718
angles: 90.00 90.00 90.00
Closest atoms and distances in Å follow each position.
Fractional coordinates of all 14 atoms:
Na 0.0000 0.1989 0.0000  4 Hg 3.27, 2 Na 3.61
Na 0.0000 0.8011 0.0000  4 Hg 3.27, 2 Na 3.61
Na 0.5000 0.3011 0.0000  4 Hg 3.27, 2 Na 3.61
Na 0.5000 0.6989 0.0000  4 Hg 3.27, 2 Na 3.61
Sr 0.0000 0.0704 0.0000  8 Hg 3.42-3.45, 1 Na 3.81
Sr 0.0000 0.9296 0.0000  8 Hg 3.42-3.45, 1 Na 3.81
Sr 0.5000 0.4296 0.0000  8 Hg 3.42-3.45, 1 Na 3.81
Sr 0.5000 0.5704 0.0000  8 Hg 3.42-3.45, 1 Na 3.81
Hg 0.0000 0.3611 0.5000  4 Na 3.27, 4 Sr 3.42
Hg 0.0000 0.5000 0.5000  8 Sr 3.45
Hg 0.0000 0.6389 0.5000  4 Na 3.27, 4 Sr 3.42
Hg 0.5000 0.0000 0.5000  8 Sr 3.45
Hg 0.5000 0.1389 0.5000  4 Na 3.27, 4 Sr 3.42
Hg 0.5000 0.8611 0.5000  4 Na 3.27, 4 Sr 3.42



(5)
Material: Na2Sr4Hg
Method: DFT, PBE-GGA
State: optimized geometry

## Properties
* V: 617 Å³ per cell
* relative energy among the computed polymorphs: 0.0 meV/atom
* symmetry: I4/mmm, No. 139
* density: 3.22 Mg/m³
* calculated formation energy: -0.10 eV per atom

abc: 5.7202 5.7202 18.8428
angles: 90.00 90.00 90.00
Closest atoms and distances in Å follow each position.
Fractional coordinates of all 14 atoms:
Na 0.0000 0.0000 0.2499  8 Sr 3.98-3.99, 4 Na 4.04
Na 0.0000 0.0000 0.7501  8 Sr 3.98-3.99, 4 Na 4.04
Na 0.5000 0.5000 0.2501  8 Sr 3.98-3.99, 4 Na 4.04
Na 0.5000 0.5000 0.7499  8 Sr 3.98-3.99, 4 Na 4.04
Sr 0.0000 0.5000 0.1028  2 Hg 3.45
Sr 0.0000 0.5000 0.3972  2 Hg 3.45
Sr 0.0000 0.5000 0.6028  2 Hg 3.45
Sr 0.0000 0.5000 0.8972  2 Hg 3.45
Sr 0.5000 0.0000 0.1028  2 Hg 3.45
Sr 0.5000 0.0000 0.3972  2 Hg 3.45
Sr 0.5000 0.0000 0.6028  2 Hg 3.45
Sr 0.5000 0.0000 0.8972  2 Hg 3.45
Hg 0.0000 0.0000 0.0000  8 Sr 3.45
Hg 0.5000 0.5000 0.5000  8 Sr 3.45



(6)
Material: Na2SrHg5
Method: DFT, PBE-GGA
State: optimized geometry

## Properties
* V: 434 Å³ per cell
* symmetry: I4/mmm, No. 139
* density: 8.70 Mg/m³
* calculated formation energy: -0.32 eV per atom

abc: 4.8899 4.8899 18.1388
angles: 90.00 90.00 90.00
Closest atoms and distances in Å follow each position.
Fractional coordinates of all 16 atoms:
Na 0.0000 0.0000 0.2494  8 Hg 3.24-3.25, 4 Na 3.46
Na 0.0000 0.0000 0.7506  8 Hg 3.24-3.25, 4 Na 3.46
Na 0.5000 0.5000 0.2506  8 Hg 3.24-3.25, 4 Na 3.46
Na 0.5000 0.5000 0.7494  8 Hg 3.24-3.25, 4 Na 3.46
Sr 0.0000 0.0000 0.5000  12 Hg 3.43-3.46
Sr 0.5000 0.5000 0.0000  12 Hg 3.43-3.46
Hg 0.0000 0.0000 0.0000  8 Hg 3.43, 4 Sr 3.46
Hg 0.0000 0.5000 0.1325  4 Na 3.24-3.25, 6 Hg 3.43-3.46, 2 Sr 3.43
Hg 0.0000 0.5000 0.3675  4 Na 3.24-3.25, 6 Hg 3.43-3.46, 2 Sr 3.43
Hg 0.0000 0.5000 0.6325  4 Na 3.24-3.25, 6 Hg 3.43-3.46, 2 Sr 3.43
Hg 0.0000 0.5000 0.8675  4 Na 3.24-3.25, 6 Hg 3.43-3.46, 2 Sr 3.43
Hg 0.5000 0.0000 0.1325  4 Na 3.24-3.25, 6 Hg 3.43-3.46, 2 Sr 3.43
Hg 0.5000 0.0000 0.3675  4 Na 3.24-3.25, 6 Hg 3.43-3.46, 2 Sr 3.43
Hg 0.5000 0.0000 0.6325  4 Na 3.24-3.25, 6 Hg 3.43-3.46, 2 Sr 3.43
Hg 0.5000 0.0000 0.8675  4 Na 3.24-3.25, 6 Hg 3.43-3.46, 2 Sr 3.43
Hg 0.5000 0.5000 0.5000  8 Hg 3.43, 4 Sr 3.46



(7)
Material: Na2SrHg6
Method: DFT, PBE-GGA
State: optimized geometry

## Properties
* V: 246 Å³ per cell
* relative energy among the computed polymorphs: 0.0 meV/atom
* symmetry: P6/mmm, No. 191
* density: 9.01 Mg/m³
* calculated formation energy: -0.30 eV per atom

abc: 8.8987 8.8987 3.5938
angles: 90.00 90.00 120.00
Closest atoms and distances in Å follow each position.
Fractional coordinates of all 9 atoms:
Na 0.3333 0.6667 0.0000  12 Hg 3.46, 2 Na 3.59
Na 0.6667 0.3333 0.0000  12 Hg 3.46, 2 Na 3.59
Sr 0.0000 0.0000 0.0000  12 Hg 3.49, 2 Sr 3.59
Hg 0.0000 0.3366 0.5000  3 Hg 2.91-3.00
Hg 0.0000 0.6634 0.5000  3 Hg 2.91-3.00
Hg 0.3366 0.0000 0.5000  3 Hg 2.91-3.00
Hg 0.3366 0.3366 0.5000  3 Hg 2.91-3.00
Hg 0.6634 0.0000 0.5000  3 Hg 2.91-3.00
Hg 0.6634 0.6634 0.5000  3 Hg 2.91-3.00



(8)
Material: NaSrHg14
Method: DFT, PBE-GGA
State: optimized geometry

## Properties
* V: 433 Å³ per cell
* symmetry: P4/mmm, No. 123
* density: 11.20 Mg/m³
* calculated formation energy: -0.16 eV per atom

abc: 6.9926 6.9926 8.8515
angles: 90.00 90.00 90.00
Closest atoms and distances in Å follow each position.
Fractional coordinates of all 16 atoms:
Na 0.0000 0.0000 0.0000  12 Hg 3.31-3.50
Sr 0.5000 0.5000 0.0000  12 Hg 3.40-3.50
Hg 0.0000 0.0000 0.5000  12 Hg 3.23-3.50
Hg 0.0000 0.5000 0.0000  8 Hg 3.36, 2 Na 3.50, 2 Sr 3.50
Hg 0.0000 0.5000 0.5000  12 Hg 3.28-3.50
Hg 0.2433 0.2433 0.2563  10 Hg 3.23-3.59, 1 Na 3.31, 1 Sr 3.40
Hg 0.2433 0.2433 0.7437  10 Hg 3.23-3.59, 1 Na 3.31, 1 Sr 3.40
Hg 0.2433 0.7567 0.2563  10 Hg 3.23-3.59, 1 Na 3.31, 1 Sr 3.40
Hg 0.2433 0.7567 0.7437  10 Hg 3.23-3.59, 1 Na 3.31, 1 Sr 3.40
Hg 0.5000 0.0000 0.0000  8 Hg 3.36, 2 Na 3.50, 2 Sr 3.50
Hg 0.5000 0.0000 0.5000  12 Hg 3.28-3.50
Hg 0.5000 0.5000 0.5000  12 Hg 3.33-3.50
Hg 0.7567 0.2433 0.2563  10 Hg 3.23-3.59, 1 Na 3.31, 1 Sr 3.40
Hg 0.7567 0.2433 0.7437  10 Hg 3.23-3.59, 1 Na 3.31, 1 Sr 3.40
Hg 0.7567 0.7567 0.2563  10 Hg 3.23-3.59, 1 Na 3.31, 1 Sr 3.40
Hg 0.7567 0.7567 0.7437  10 Hg 3.23-3.59, 1 Na 3.31, 1 Sr 3.40



| no. | magnetization (μB/atom) | DOS at the Fermi energy (states/eV/cell) |
| --- | --- | --- |
| 1 | 0.0000 | 2.47 |
| 2 | 0.0000 | 10.54 |
| 3 | 0.0000 | 13.85 |
| 4 | 0.0000 | 10.33 |
| 5 | 0.0000 | 10.58 |
| 6 | 0.0000 | 7.66 |
| 7 | 0.0000 | 4.43 |
| 8 | 0.0000 | 4.00 |